Entry from the Alexandria database: a relaxed structure of CoOsIO2 (PBE with a Hubbard U).

Unit cell a=3.7393 b=3.7393 c=8.6087 alpha=90.00 beta=90.00 gamma=90.00
Space group P4/mmm (No. 123)
Unique sites:
1 Co 0.0000 0.0000 0.0000 (multiplicity 1)
2 Os 0.5000 0.5000 0.5000 (multiplicity 1)
3 I 0.5000 0.5000 0.0000 (multiplicity 1)
4 O 0.0000 0.5000 0.5000 (multiplicity 2)

Results
The value obtained for the energy above the most stable polymorph in this dataset is 0.0 meV/atom. The total energy comes out at -5.693 eV/atom. For the mass density, the calculation gives 5.63 g cm⁻³.